The following is a GGA-PBE calculation of a relaxed structure of Sc5Sb4As, from Alexandria.

Structure (CIF):
```
data_Sc5Sb4As
_cell_length_a 14.803
_cell_length_b 14.803
_cell_length_c 14.803
_cell_angle_alpha 164.03
_cell_angle_beta 164.03
_cell_angle_gamma 22.67
_symmetry_space_group_name_H-M 'P 1'
_symmetry_Int_Tables_number 1
loop_
_symmetry_equiv_pos_as_xyz
'x,y,z'
loop_
_atom_site_label
_atom_site_type_symbol
_atom_site_fract_x
_atom_site_fract_y
_atom_site_fract_z
Sc1 Sc 0.000 0.000 0.000
Sc2 Sc 0.201 0.201 0.000
Sc3 Sc 0.406 0.406 0.000
Sc4 Sc 0.594 0.594 0.000
Sc5 Sc 0.799 0.799 0.000
Sb1 Sb 0.100 0.100 0.000
Sb2 Sb 0.303 0.303 0.000
Sb3 Sb 0.697 0.697 0.000
Sb4 Sb 0.900 0.900 0.000
As1 As 0.500 0.500 0.000
```

Calculated values
space-group type = No. 139
formation energy without anion corrections = -1.01 eV/atom

The following is a GGA-PBE calculation of a relaxed structure of Si23O3, from Alexandria.

Structure (CIF):
```
data_Si23O3
_cell_length_a 10.147
_cell_length_b 10.147
_cell_length_c 10.147
_cell_angle_alpha 90.00
_cell_angle_beta 90.00
_cell_angle_gamma 90.00
_symmetry_space_group_name_H-M 'P 1'
_symmetry_Int_Tables_number 1
loop_
_symmetry_equiv_pos_as_xyz
'x,y,z'
loop_
_atom_site_label
_atom_site_type_symbol
_atom_site_fract_x
_atom_site_fract_y
_atom_site_fract_z
Si1 Si 0.000 0.116 0.311
Si2 Si 0.000 0.116 0.689
Si3 Si 0.000 0.250 0.500
Si4 Si 0.000 0.750 0.500
Si5 Si 0.000 0.884 0.311
Si6 Si 0.000 0.884 0.689
Si7 Si 0.116 0.311 0.000
Si8 Si 0.116 0.689 0.000
Si9 Si 0.183 0.183 0.183
Si10 Si 0.183 0.183 0.817
Si11 Si 0.183 0.817 0.183
Si12 Si 0.183 0.817 0.817
Si13 Si 0.189 0.384 0.500
Si14 Si 0.189 0.616 0.500
Si15 Si 0.250 0.500 0.000
Si16 Si 0.311 0.000 0.116
Si17 Si 0.311 0.000 0.884
Si18 Si 0.317 0.317 0.317
Si19 Si 0.317 0.317 0.683
Si20 Si 0.317 0.683 0.317
Si21 Si 0.317 0.683 0.683
Si22 Si 0.384 0.500 0.189
Si23 Si 0.384 0.500 0.811
Si24 Si 0.500 0.000 0.250
Si25 Si 0.500 0.000 0.750
Si26 Si 0.500 0.189 0.384
Si27 Si 0.500 0.189 0.616
Si28 Si 0.500 0.811 0.384
Si29 Si 0.500 0.811 0.616
Si30 Si 0.616 0.500 0.189
Si31 Si 0.616 0.500 0.811
Si32 Si 0.683 0.317 0.317
Si33 Si 0.683 0.317 0.683
Si34 Si 0.683 0.683 0.317
Si35 Si 0.683 0.683 0.683
Si36 Si 0.689 0.000 0.116
Si37 Si 0.689 0.000 0.884
Si38 Si 0.750 0.500 0.000
Si39 Si 0.811 0.384 0.500
Si40 Si 0.811 0.616 0.500
Si41 Si 0.817 0.183 0.183
Si42 Si 0.817 0.183 0.817
Si43 Si 0.817 0.817 0.183
Si44 Si 0.817 0.817 0.817
Si45 Si 0.884 0.311 0.000
Si46 Si 0.884 0.689 0.000
O1 O 0.000 0.500 0.250
O2 O 0.000 0.500 0.750
O3 O 0.250 0.000 0.500
O4 O 0.500 0.250 0.000
O5 O 0.500 0.750 0.000
O6 O 0.750 0.000 0.500
```

Calculated values
space-group type = No. 223
formation energy without anion corrections = 0.30 eV/atom

The following is a GGA-PBE calculation of a relaxed structure of ZrTcSb2, from Alexandria.

Structure (CIF):
```
data_ZrTcSb2
_cell_length_a 5.270
_cell_length_b 5.270
_cell_length_c 5.119
_cell_angle_alpha 107.44
_cell_angle_beta 107.44
_cell_angle_gamma 37.51
_symmetry_space_group_name_H-M 'P 1'
_symmetry_Int_Tables_number 1
loop_
_symmetry_equiv_pos_as_xyz
'x,y,z'
loop_
_atom_site_label
_atom_site_type_symbol
_atom_site_fract_x
_atom_site_fract_y
_atom_site_fract_z
Zr1 Zr 0.000 0.000 0.000
Tc1 Tc 0.263 0.263 0.632
Sb1 Sb 0.531 0.531 0.520
Sb2 Sb 0.756 0.756 0.182
```

Calculated values
space-group type = No. 8
offset from the most stable computed form = 0.049 eV per atom
formation energy without anion corrections = -0.19 eV/atom

The following is a GGA-PBE calculation of a relaxed structure of Ti2PtF, from Alexandria.

Structure (CIF):
```
data_Ti2PtF
_cell_length_a 4.381
_cell_length_b 4.381
_cell_length_c 4.381
_cell_angle_alpha 60.00
_cell_angle_beta 60.00
_cell_angle_gamma 60.00
_symmetry_space_group_name_H-M 'P 1'
_symmetry_Int_Tables_number 1
loop_
_symmetry_equiv_pos_as_xyz
'x,y,z'
loop_
_atom_site_label
_atom_site_type_symbol
_atom_site_fract_x
_atom_site_fract_y
_atom_site_fract_z
Ti1 Ti 0.250 0.250 0.250
Ti2 Ti 0.750 0.750 0.750
Pt1 Pt 0.000 0.000 0.000
F1 F 0.500 0.500 0.500
```

Calculated values
space-group type = No. 225
offset from the most stable computed form = 0.023 eV per atom
formation energy without anion corrections = -0.93 eV/atom

The following is a GGA-PBE calculation of a relaxed structure of Pm3YHoTm, from Alexandria.

Structure (CIF):
```
data_Pm3YHoTm
_cell_length_a 8.024
_cell_length_b 5.092
_cell_length_c 10.145
_cell_angle_alpha 90.00
_cell_angle_beta 108.52
_cell_angle_gamma 90.00
_symmetry_space_group_name_H-M 'P 1'
_symmetry_Int_Tables_number 1
loop_
_symmetry_equiv_pos_as_xyz
'x,y,z'
loop_
_atom_site_label
_atom_site_type_symbol
_atom_site_fract_x
_atom_site_fract_y
_atom_site_fract_z
Pm1 Pm 0.169 0.250 0.042
Pm2 Pm 0.169 0.250 0.542
Pm3 Pm 0.170 0.750 0.292
Pm4 Pm 0.830 0.250 0.708
Pm5 Pm 0.831 0.750 0.458
Pm6 Pm 0.831 0.750 0.958
Y1 Y 0.170 0.750 0.793
Y2 Y 0.830 0.250 0.207
Ho1 Ho 0.499 0.750 0.626
Ho2 Ho 0.501 0.250 0.374
Tm1 Tm 0.500 0.250 0.876
Tm2 Tm 0.500 0.750 0.124
```

Calculated values
space-group type = No. 11
formation energy from the elements = 0.022 eV/atom

The following is a GGA-PBE calculation of a relaxed structure of Ag3HN, from Alexandria.

Structure (CIF):
```
data_Ag3HN
_cell_length_a 4.328
_cell_length_b 4.328
_cell_length_c 4.328
_cell_angle_alpha 90.00
_cell_angle_beta 90.00
_cell_angle_gamma 90.00
_symmetry_space_group_name_H-M 'P 1'
_symmetry_Int_Tables_number 1
loop_
_symmetry_equiv_pos_as_xyz
'x,y,z'
loop_
_atom_site_label
_atom_site_type_symbol
_atom_site_fract_x
_atom_site_fract_y
_atom_site_fract_z
Ag1 Ag 0.000 0.000 0.500
Ag2 Ag 0.000 0.500 0.000
Ag3 Ag 0.500 0.000 0.000
H1 H 0.500 0.500 0.500
N1 N 0.000 0.000 0.000
```

Calculated values
space-group type = No. 221
offset from the most stable computed form = 0.000 eV per atom

The following is a GGA-PBE calculation of a relaxed structure of CrGeP, from Alexandria.

Structure (CIF):
```
data_CrGeP
_cell_length_a 3.852
_cell_length_b 3.852
_cell_length_c 8.013
_cell_angle_alpha 103.91
_cell_angle_beta 103.91
_cell_angle_gamma 60.14
_symmetry_space_group_name_H-M 'P 1'
_symmetry_Int_Tables_number 1
loop_
_symmetry_equiv_pos_as_xyz
'x,y,z'
loop_
_atom_site_label
_atom_site_type_symbol
_atom_site_fract_x
_atom_site_fract_y
_atom_site_fract_z
Cr1 Cr 0.125 0.125 0.375
Cr2 Cr 0.875 0.875 0.625
Ge1 Ge 0.378 0.378 0.139
Ge2 Ge 0.622 0.622 0.861
P1 P 0.223 0.223 0.669
P2 P 0.777 0.777 0.331
```

Calculated values
space-group type = No. 12
formation energy from the elements = 0.009 eV/atom

The following is a GGA-PBE calculation of a relaxed structure of Tb3Pr6Ho, from Alexandria.

Structure (CIF):
```
data_Tb3Pr6Ho
_cell_length_a 11.177
_cell_length_b 11.177
_cell_length_c 6.473
_cell_angle_alpha 90.00
_cell_angle_beta 90.00
_cell_angle_gamma 121.00
_symmetry_space_group_name_H-M 'P 1'
_symmetry_Int_Tables_number 1
loop_
_symmetry_equiv_pos_as_xyz
'x,y,z'
loop_
_atom_site_label
_atom_site_type_symbol
_atom_site_fract_x
_atom_site_fract_y
_atom_site_fract_z
Tb1 Tb 0.115 0.885 0.500
Tb2 Tb 0.214 0.445 0.882
Tb3 Tb 0.445 0.214 0.382
Tb4 Tb 0.555 0.786 0.882
Tb5 Tb 0.786 0.555 0.382
Tb6 Tb 0.885 0.115 0.000
Pr1 Pr 0.020 0.439 0.278
Pr2 Pr 0.129 0.212 0.468
Pr3 Pr 0.212 0.129 0.968
Pr4 Pr 0.219 0.781 0.073
Pr5 Pr 0.439 0.020 0.778
Pr6 Pr 0.466 0.534 0.292
Pr7 Pr 0.534 0.466 0.792
Pr8 Pr 0.561 0.980 0.278
Pr9 Pr 0.781 0.219 0.573
Pr10 Pr 0.788 0.871 0.468
Pr11 Pr 0.871 0.788 0.968
Pr12 Pr 0.980 0.561 0.778
Ho1 Ho 0.307 0.693 0.527
Ho2 Ho 0.693 0.307 0.027
```

Calculated values
space-group type = No. 36
offset from the most stable computed form = 0.000 eV per atom
formation energy from the elements = 0.138 eV/atom

Spin magnetization / μB/atom: 0.0000; 0.1920; 0.0000; 0.0000; 0.0000; 0.2000; 0.2810; 0.0000
Raw total energy / eV for the cell shown: -62.86; -263.37; -27.92; -27.44; -59.27; -15.53; -39.25; -91.54